A relaxed structure of Dy3TePb2, computed with PBE.

Calculated values
The calculated density comes out at 9.33 g/cm³. The formation energy from raw total energies is -0.751 eV/atom.

Lattice parameters (Å, degrees): 4.270 6.259 7.833 113.55 105.84 90.00
Fractional coordinates of all 6 atoms:
Dy1 0.500 0.500 0.000
Dy2 0.166 0.166 0.332
Dy3 0.834 0.834 0.668
Te1 0.500 0.000 0.000
Pb1 0.165 0.665 0.330
Pb2 0.835 0.335 0.670